w.
# LiFeSn2Os

A relaxed structure of LiFeSn2Os (PBE, the Alexandria database).

## Properties
DOS(E_F) in states/eV/atom: 1.17
V in Å³ per atom: 26.040

Cell: 5.123 5.123 4.960 Å, 90.00 90.00 90.00°
Fractional positions:
1 Li 0.000 0.000 0.000
2 Fe 0.500 0.500 0.000
3 Sn 0.000 0.500 0.500
4 Sn 0.500 0.000 0.500
5 Os 0.500 0.500 0.500



x.
# LiFeSn2Os

A relaxed structure of LiFeSn2Os (PBE, the Alexandria database).

## Properties
DOS(E_F) in states/eV/atom: 0.62
V in Å³ per atom: 19.558

Cell: 4.809 4.809 4.228 Å, 90.00 90.00 90.00°
Fractional positions:
1 Li 0.000 0.000 0.000
2 Fe 0.000 0.000 0.500
3 Sn 0.000 0.500 0.500
4 Sn 0.500 0.000 0.500
5 Os 0.500 0.500 0.000



Verdict on stability: w comes out on top.



w.
# LiFeP2

A relaxed structure of LiFeP2 (PBE, the Alexandria database).

## Properties
DOS(E_F) in states/eV/atom: 0.09
V in Å³ per atom: 12.667

Cell: 2.739 2.739 6.756 Å, 90.00 90.00 90.00°
Fractional positions:
1 Li 0.000 0.000 0.000
2 Fe 0.000 0.000 0.500
3 P 0.500 0.500 0.292
4 P 0.500 0.500 0.708



x.
# LiFeP2

A relaxed structure of LiFeP2 (PBE, the Alexandria database).

## Properties
DOS(E_F) in states/eV/atom: 0.70
V in Å³ per atom: 12.134

Cell: 3.817 3.817 3.330 Å, 90.00 90.00 90.00°
Fractional positions:
1 Li 0.000 0.000 0.000
2 Fe 0.500 0.500 0.000
3 P 0.000 0.500 0.500
4 P 0.500 0.000 0.500



y.
# LiFeP2

A relaxed structure of LiFeP2 (PBE, the Alexandria database).

## Properties
DOS(E_F) in states/eV/atom: 0.58
V in Å³ per atom: 12.058

Cell: 3.223 3.223 4.645 Å, 90.00 90.00 90.00°
Fractional positions:
1 Li 0.000 0.000 0.000
2 Fe 0.500 0.500 0.700
3 P 0.000 0.000 0.505
4 P 0.500 0.500 0.206



Verdict on stability: w comes out on top.



w.
# LiFeP2

A relaxed structure of LiFeP2 (PBE, the Alexandria database).

## Properties
DOS(E_F) in states/eV/atom: 0.90
V in Å³ per atom: 12.274

Cell: 4.742 4.742 4.742 Å, 136.94 136.94 62.54°
Fractional positions:
1 Li 0.000 0.000 0.000
2 Fe 0.750 0.250 0.500
3 P 0.250 0.750 0.500
4 P 0.500 0.500 0.000



x.
# LiFeP2

A relaxed structure of LiFeP2 (PBE, the Alexandria database).

## Properties
DOS(E_F) in states/eV/atom: 0.70
V in Å³ per atom: 11.959

Cell: 4.075 4.075 4.075 Å, 60.00 60.00 60.00°
Fractional positions:
1 Li 0.000 0.000 0.000
2 Fe 0.250 0.250 0.250
3 P 0.500 0.500 0.500
4 P 0.750 0.750 0.750



Verdict on stability: w comes out on top.



w.
# LiFeP2

A relaxed structure of LiFeP2 (PBE, the Alexandria database).

## Properties
DOS(E_F) in states/eV/atom: 0.48
V in Å³ per atom: 13.831

Cell: 3.854 3.854 5.162 Å, 101.83 101.83 47.78°
Fractional positions:
1 Li 0.000 0.000 0.000
2 Fe 0.500 0.500 0.500
3 P 0.234 0.234 0.676
4 P 0.766 0.766 0.324



x.
# LiFeP2

A relaxed structure of LiFeP2 (PBE, the Alexandria database).

## Properties
DOS(E_F) in states/eV/atom: 0.65
V in Å³ per atom: 12.207

Cell: 4.315 4.315 2.745 Å, 92.97 92.97 106.49°
Fractional positions:
1 Li 0.000 0.000 0.000
2 Fe 0.500 0.500 0.000
3 P 0.000 0.500 0.500
4 P 0.500 0.000 0.500



Verdict on stability: w comes out on top.



w.
# LiFePS2

A relaxed structure of LiFePS2 (PBE, the Alexandria database).

## Properties
DOS(E_F) in states/eV/atom: 1.51
V in Å³ per atom: 15.330

Cell: 4.319 4.319 4.109 Å, 90.00 90.00 90.00°
Fractional positions:
1 Li 0.000 0.000 0.000
2 Fe 0.500 0.500 0.500
3 P 0.000 0.000 0.500
4 S 0.000 0.500 0.000
5 S 0.500 0.000 0.000



x.
# LiFePS2

A relaxed structure of LiFePS2 (PBE, the Alexandria database).

## Properties
DOS(E_F) in states/eV/atom: 1.03
V in Å³ per atom: 18.656

Cell: 4.695 4.695 4.231 Å, 90.00 90.00 90.00°
Fractional positions:
1 Li 0.000 0.000 0.000
2 Fe 0.500 0.500 0.500
3 P 0.500 0.500 0.000
4 S 0.000 0.500 0.500
5 S 0.500 0.000 0.500



Verdict on stability: x comes out on top.



w.
# LiFePb3

A relaxed structure of LiFePb3 (PBE, the Alexandria database).

## Properties
DOS(E_F) in states/eV/atom: 0.48
V in Å³ per atom: 28.292

Cell: 5.210 5.210 5.210 Å, 90.00 90.00 90.00°
Fractional positions:
1 Li 0.000 0.000 0.000
2 Fe 0.500 0.500 0.500
3 Pb 0.000 0.500 0.500
4 Pb 0.500 0.000 0.500
5 Pb 0.500 0.500 0.000



x.
# LiFePb3

A relaxed structure of LiFePb3 (PBE, the Alexandria database).

## Properties
DOS(E_F) in states/eV/atom: 1.60
V in Å³ per atom: 26.665

Cell: 5.109 5.109 5.109 Å, 90.00 90.00 90.00°
Fractional positions:
1 Li 0.000 0.000 0.000
2 Fe 0.500 0.500 0.500
3 Pb 0.000 0.000 0.500
4 Pb 0.000 0.500 0.000
5 Pb 0.500 0.000 0.000



Verdict on stability: w comes out on top.



w.
# LiFe2PdPb

A relaxed structure of LiFe2PdPb (PBE, the Alexandria database).

## Properties
DOS(E_F) in states/eV/atom: 1.52
V in Å³ per atom: 22.698

Cell: 4.903 4.903 4.722 Å, 90.00 90.00 90.00°
Fractional positions:
1 Li 0.000 0.000 0.000
2 Fe 0.000 0.500 0.500
3 Fe 0.500 0.000 0.500
4 Pd 0.500 0.500 0.000
5 Pb 0.000 0.000 0.500



x.
# LiFe2PdPb

A relaxed structure of LiFe2PdPb (PBE, the Alexandria database).

## Properties
DOS(E_F) in states/eV/atom: 0.88
V in Å³ per atom: 16.070

Cell: 4.281 4.281 4.385 Å, 90.00 90.00 90.00°
Fractional positions:
1 Li 0.000 0.000 0.000
2 Fe 0.000 0.500 0.000
3 Fe 0.500 0.000 0.000
4 Pd 0.000 0.000 0.500
5 Pb 0.500 0.500 0.500



Verdict on stability: x comes out on top.



w.
# Li2FePd5

A relaxed structure of Li2FePd5 (PBE, the Alexandria database).

## Properties
DOS(E_F) in states/eV/atom: 0.44
V in Å³ per atom: 13.965

Cell: 7.074 7.074 7.074 Å, 126.06 126.06 79.79°
Fractional positions:
1 Li 0.143 0.643 0.786
2 Li 0.357 0.143 0.500
3 Li 0.643 0.857 0.500
4 Li 0.857 0.357 0.214
5 Fe 0.250 0.250 0.000
6 Fe 0.750 0.750 0.000
7 Pd 0.000 0.000 0.000
8 Pd 0.000 0.192 0.500
9 Pd 0.000 0.808 0.500
10 Pd 0.192 0.692 0.192
11 Pd 0.308 0.500 0.500
12 Pd 0.500 0.000 0.192
13 Pd 0.500 0.000 0.808
14 Pd 0.500 0.500 0.000
15 Pd 0.692 0.500 0.500
16 Pd 0.808 0.308 0.808



x.
# Li2FePd5

A relaxed structure of Li2FePd5 (PBE, the Alexandria database).

## Properties
DOS(E_F) in states/eV/atom: 0.51
V in Å³ per atom: 14.391

Cell: 5.312 5.312 5.313 Å, 107.76 107.76 112.92°
Fractional positions:
1 Li 0.250 0.750 0.000
2 Li 0.750 0.250 0.000
3 Fe 0.222 0.222 0.503
4 Pd 0.264 0.735 0.500
5 Pd 0.266 0.266 0.032
6 Pd 0.735 0.264 0.500
7 Pd 0.736 0.736 0.974
8 Pd 0.787 0.787 0.504



Verdict on stability: x comes out on top.



w.
# LiFePd6

A relaxed structure of LiFePd6 (PBE, the Alexandria database).

## Properties
DOS(E_F) in states/eV/atom: 0.61
V in Å³ per atom: 17.320

Cell: 5.176 5.176 5.176 Å, 88.69 88.69 88.69°
Fractional positions:
1 Li 0.000 0.000 0.000
2 Fe 0.500 0.500 0.500
3 Pd 0.171 0.171 0.554
4 Pd 0.171 0.554 0.171
5 Pd 0.446 0.829 0.829
6 Pd 0.554 0.171 0.171
7 Pd 0.829 0.446 0.829
8 Pd 0.829 0.829 0.446



x.
# LiFePd6

A relaxed structure of LiFePd6 (PBE, the Alexandria database).

## Properties
DOS(E_F) in states/eV/atom: 1.13
V in Å³ per atom: 14.708

Cell: 5.518 5.518 3.865 Å, 90.00 90.00 90.00°
Fractional positions:
1 Li 0.000 0.000 0.000
2 Fe 0.500 0.500 0.000
3 Pd 0.000 0.500 0.000
4 Pd 0.253 0.253 0.500
5 Pd 0.253 0.747 0.500
6 Pd 0.500 0.000 0.000
7 Pd 0.747 0.253 0.500
8 Pd 0.747 0.747 0.500



Verdict on stability: x comes out on top.



w.
# LiFePd3

A relaxed structure of LiFePd3 (PBE, the Alexandria database).

## Properties
DOS(E_F) in states/eV/atom: 0.49
V in Å³ per atom: 14.169

Cell: 4.891 4.386 6.949 Å, 90.00 108.08 90.00°
Fractional positions:
1 Li 0.040 0.250 0.388
2 Li 0.960 0.750 0.612
3 Fe 0.427 0.250 0.184
4 Fe 0.573 0.750 0.816
5 Pd 0.163 0.750 0.000
6 Pd 0.252 0.250 0.780
7 Pd 0.341 0.750 0.420
8 Pd 0.659 0.250 0.580
9 Pd 0.748 0.750 0.220
10 Pd 0.837 0.250 0.000



x.
# LiFePd3

A relaxed structure of LiFePd3 (PBE, the Alexandria database).

## Properties
DOS(E_F) in states/eV/atom: 1.51
V in Å³ per atom: 14.870

Cell: 4.205 4.205 4.205 Å, 90.00 90.00 90.00°
Fractional positions:
1 Li 0.000 0.000 0.000
2 Fe 0.500 0.500 0.500
3 Pd 0.000 0.000 0.500
4 Pd 0.000 0.500 0.000
5 Pd 0.500 0.000 0.000



Verdict on stability: w comes out on top.



w.
# Li2FePd8

A relaxed structure of Li2FePd8 (PBE, the Alexandria database).

## Properties
DOS(E_F) in states/eV/atom: 0.60
V in Å³ per atom: 14.790

Cell: 6.970 6.970 4.809 Å, 91.67 91.67 44.16°
Fractional positions:
1 Li 0.244 0.244 0.113
2 Li 0.756 0.756 0.887
3 Fe 0.500 0.500 0.500
4 Pd 0.092 0.092 0.386
5 Pd 0.156 0.656 0.116
6 Pd 0.303 0.303 0.618
7 Pd 0.344 0.844 0.884
8 Pd 0.656 0.156 0.116
9 Pd 0.697 0.697 0.382
10 Pd 0.844 0.344 0.884
11 Pd 0.908 0.908 0.614



x.
# Li2FePd8

A relaxed structure of Li2FePd8 (PBE, the Alexandria database).

## Properties
DOS(E_F) in states/eV/atom: 0.86
V in Å³ per atom: 14.758

Cell: 7.116 7.116 7.116 Å, 146.95 123.18 67.33°
Fractional positions:
1 Li 0.199 0.199 0.000
2 Li 0.801 0.801 0.000
3 Fe 0.500 0.500 0.000
4 Pd 0.061 0.343 0.718
5 Pd 0.196 0.000 0.196
6 Pd 0.353 0.853 0.500
7 Pd 0.374 0.657 0.718
8 Pd 0.626 0.343 0.282
9 Pd 0.647 0.147 0.500
10 Pd 0.804 0.000 0.804
11 Pd 0.939 0.657 0.282



Verdict on stability: x comes out on top.



w.
# LiFe2Pd6

A relaxed structure of LiFe2Pd6 (PBE, the Alexandria database).

## Properties
DOS(E_F) in states/eV/atom: 0.57
V in Å³ per atom: 14.695

Cell: 7.752 7.752 4.682 Å, 96.37 96.37 71.64°
Fractional positions:
1 Li 0.124 0.876 0.750
2 Li 0.876 0.124 0.250
3 Fe 0.207 0.459 0.919
4 Fe 0.459 0.207 0.419
5 Fe 0.541 0.793 0.581
6 Fe 0.793 0.541 0.081
7 Pd 0.021 0.760 0.177
8 Pd 0.102 0.345 0.363
9 Pd 0.240 0.979 0.323
10 Pd 0.319 0.565 0.481
11 Pd 0.345 0.102 0.863
12 Pd 0.435 0.681 0.019
13 Pd 0.565 0.319 0.981
14 Pd 0.655 0.898 0.137
15 Pd 0.681 0.435 0.519
16 Pd 0.760 0.021 0.677
17 Pd 0.898 0.655 0.637
18 Pd 0.979 0.240 0.823



x.
# LiFe2Pd6

A relaxed structure of LiFe2Pd6 (PBE, the Alexandria database).

## Properties
DOS(E_F) in states/eV/atom: 0.46
V in Å³ per atom: 16.183

Cell: 7.073 7.073 7.073 Å, 146.26 131.58 60.32°
Fractional positions:
1 Li 0.000 0.000 0.000
2 Fe 0.336 0.336 0.000
3 Fe 0.664 0.664 0.000
4 Pd 0.081 0.834 0.248
5 Pd 0.243 0.500 0.743
6 Pd 0.414 0.166 0.248
7 Pd 0.586 0.834 0.752
8 Pd 0.757 0.500 0.257
9 Pd 0.919 0.166 0.752



Verdict on stability: w comes out on top.